1.
Density functional theory data (GGA-PBE) for a relaxed structure of ZnGePd2.

abc: 6.565 6.565 6.565
angles: 126.34 126.34 79.33
Element x y z (fractional)
Zn (0.000, 0.000, 0.000)
Zn (0.750, 0.250, 0.500)
Ge (0.250, 0.750, 0.500)
Ge (0.500, 0.500, 0.000)
Pd (0.136, 0.625, 0.011)
Pd (0.375, 0.386, 0.511)
Pd (0.614, 0.125, 0.989)
Pd (0.875, 0.864, 0.489)

- Theoretical density: 6.57 Mg/m³
- Density of states at the Fermi level: 3.879 states/eV per cell
- Formation enthalpy at 0 K: 0.092 eV/atom
- Electronic total energy: -31.82 eV per cell

=====

2.
Density functional theory data (GGA-PBE) for a relaxed structure of ScCd2Ge2.

abc: 7.101 7.101 7.101
angles: 146.63 146.63 47.91
Element x y z (fractional)
Sc (0.000, 0.000, 0.000)
Cd (0.250, 0.750, 0.500)
Cd (0.750, 0.250, 0.500)
Ge (0.405, 0.405, 0.000)
Ge (0.595, 0.595, 0.000)

- Theoretical density: 6.39 Mg/m³
- Density of states at the Fermi level: 1.415 states/eV per cell
- Excess energy over the best structure of this formula in the dataset: 0.029 eV/atom
- Formation enthalpy at 0 K: -0.064 eV/atom
- Electronic total energy: -17.72 eV per cell

=====

3.
Density functional theory data (GGA-PBE) for a relaxed structure of CoBAsRu2.

abc: 4.507 4.507 4.180
angles: 90.00 90.00 90.00
Element x y z (fractional)
Co (0.000, 0.000, 0.000)
B (0.500, 0.500, 0.000)
As (0.000, 0.000, 0.500)
Ru (0.000, 0.500, 0.500)
Ru (0.500, 0.000, 0.500)

- Theoretical density: 6.78 Mg/m³
- Density of states at the Fermi level: 5.609 states/eV per cell
- Formation enthalpy at 0 K: 1.708 eV/atom
- Electronic total energy: -28.44 eV per cell

=====

4.
Density functional theory data (GGA-PBE) for a relaxed structure of Zr3Ag.

abc: 5.515 5.515 5.515
angles: 133.77 133.77 67.44
Element x y z (fractional)
Zr (0.000, 0.000, 0.000)
Zr (0.250, 0.750, 0.500)
Zr (0.750, 0.250, 0.500)
Ag (0.500, 0.500, 0.000)

- Theoretical density: 7.37 Mg/m³
- Density of states at the Fermi level: 5.416 states/eV per cell
- Formation enthalpy at 0 K: 0.023 eV/atom
- Electronic total energy: -28.40 eV per cell

=====

5.
Density functional theory data (GGA-PBE) for a relaxed structure of Cs2Tl3Bi2.

abc: 7.739 7.739 9.174
angles: 114.38 114.38 37.54
Element x y z (fractional)
Cs (0.125, 0.125, 0.261)
Cs (0.875, 0.875, 0.739)
Tl (0.366, 0.366, 0.066)
Tl (0.500, 0.500, 0.500)
Tl (0.634, 0.634, 0.934)
Bi (0.161, 0.161, 0.732)
Bi (0.839, 0.839, 0.268)

- Theoretical density: 7.15 Mg/m³
- Density of states at the Fermi level: 3.450 states/eV per cell
- Formation enthalpy at 0 K: -0.203 eV/atom
- Electronic total energy: -17.99 eV per cell

=====

6.
Density functional theory data (GGA-PBE) for a relaxed structure of DySc2HgC.

abc: 4.544 4.544 4.930
angles: 90.00 90.00 90.00
Element x y z (fractional)
Dy (0.000, 0.000, 0.000)
Sc (0.000, 0.500, 0.500)
Sc (0.500, 0.000, 0.500)
Hg (0.500, 0.500, 0.000)
C (0.000, 0.000, 0.500)

- Theoretical density: 7.59 Mg/m³
- Density of states at the Fermi level: 6.171 states/eV per cell
- Formation enthalpy at 0 K: -0.485 eV/atom
- Electronic total energy: -29.22 eV per cell

=====

7.
Density functional theory data (GGA-PBE) for a relaxed structure of AlCoIr4.

abc: 5.129 5.129 5.129
angles: 60.00 60.00 60.00
Element x y z (fractional)
Al (0.000, 0.000, 0.000)
Co (0.250, 0.250, 0.250)
Ir (0.125, 0.625, 0.625)
Ir (0.625, 0.125, 0.625)
Ir (0.625, 0.625, 0.125)
Ir (0.625, 0.625, 0.625)

- Theoretical density: 14.88 Mg/m³
- Density of states at the Fermi level: 9.891 states/eV per cell
- Formation enthalpy at 0 K: 0.387 eV/atom
- Electronic total energy: -43.97 eV per cell

=====

8.
Density functional theory data (GGA-PBE) for a relaxed structure of NaCd.

abc: 4.459 4.459 4.459
angles: 60.00 60.00 60.00
Element x y z (fractional)
Na (0.000, 0.000, 0.000)
Cd (0.500, 0.500, 0.500)

- Theoretical density: 3.59 Mg/m³
- Density of states at the Fermi level: 1.055 states/eV per cell
- Formation enthalpy at 0 K: 0.113 eV/atom
- Electronic total energy: -2.01 eV per cell

=====

9.
Density functional theory data (GGA-PBE) for a relaxed structure of AlV2Tc.

abc: 5.565 5.565 5.565
angles: 102.28 102.28 125.08
Element x y z (fractional)
Al (0.000, 0.000, 0.000)
Al (0.750, 0.250, 0.500)
V (0.163, 0.625, 0.038)
V (0.375, 0.413, 0.538)
V (0.587, 0.125, 0.962)
V (0.875, 0.837, 0.462)
Tc (0.250, 0.750, 0.500)
Tc (0.500, 0.500, 0.000)

- Theoretical density: 6.02 Mg/m³
- Density of states at the Fermi level: 8.444 states/eV per cell
- Formation enthalpy at 0 K: 0.350 eV/atom
- Electronic total energy: -61.90 eV per cell

=====

10.
Density functional theory data (GGA-PBE) for a relaxed structure of Nd2Ho3Th2.

abc: 3.603 7.994 8.726
angles: 110.47 90.02 102.97
Element x y z (fractional)
Nd (0.216, 0.433, 0.143)
Nd (0.784, 0.567, 0.857)
Ho (0.363, 0.724, 0.565)
Ho (0.500, 0.000, 0.000)
Ho (0.637, 0.276, 0.435)
Th (0.068, 0.136, 0.711)
Th (0.932, 0.864, 0.289)

- Theoretical density: 9.06 Mg/m³
- Density of states at the Fermi level: 9.163 states/eV per cell
- Excess energy over the best structure of this formula in the dataset: 0.000 eV/atom
- Formation enthalpy at 0 K: 0.033 eV/atom
- Electronic total energy: -37.88 eV per cell

=====

11.
Density functional theory data (GGA-PBE) for a relaxed structure of Hf3MnH.

abc: 4.293 4.293 4.293
angles: 90.00 90.00 90.00
Element x y z (fractional)
Hf (0.000, 0.000, 0.500)
Hf (0.000, 0.500, 0.000)
Hf (0.500, 0.000, 0.000)
Mn (0.500, 0.500, 0.500)
H (0.000, 0.000, 0.000)

- Theoretical density: 12.42 Mg/m³
- Density of states at the Fermi level: 7.449 states/eV per cell
- Excess energy over the best structure of this formula in the dataset: 0.000 eV/atom
- Electronic total energy: -41.67 eV per cell

=====

12.
Density functional theory data (GGA-PBE) for a relaxed structure of PrYTmCd.

abc: 3.635 3.635 9.027
angles: 90.00 90.00 90.00
Element x y z (fractional)
Pr (0.000, 0.000, 0.000)
Y (0.500, 0.500, 0.714)
Tm (0.500, 0.500, 0.278)
Cd (0.000, 0.000, 0.491)

- Theoretical density: 7.11 Mg/m³
- Density of states at the Fermi level: 4.297 states/eV per cell
- Excess energy over the best structure of this formula in the dataset: 0.000 eV/atom
- Formation enthalpy at 0 K: -0.157 eV/atom
- Electronic total energy: -17.26 eV per cell

=====

13.
Density functional theory data (GGA-PBE) for a relaxed structure of Tb4DyHoSe8.

abc: 8.433 8.433 8.433
angles: 60.02 60.02 60.02
Element x y z (fractional)
Tb (0.000, 0.000, 0.000)
Tb (0.126, 0.625, 0.625)
Tb (0.625, 0.126, 0.625)
Tb (0.625, 0.625, 0.126)
Dy (0.625, 0.625, 0.625)
Ho (0.250, 0.250, 0.250)
Se (0.381, 0.381, 0.381)
Se (0.382, 0.382, 0.855)
Se (0.382, 0.855, 0.382)
Se (0.398, 0.866, 0.866)
Se (0.855, 0.382, 0.382)
Se (0.866, 0.398, 0.866)
Se (0.866, 0.866, 0.398)
Se (0.867, 0.867, 0.867)

- Uncorrected formation energy: -1.720 eV per atom
- Theoretical density: 6.24 Mg/m³
- Density of states at the Fermi level: 8.511 states/eV per cell
- Electronic total energy: -79.65 eV per cell

=====

14.
Density functional theory data (GGA-PBE) for a relaxed structure of Dy2InFe2Rh5.

abc: 9.585 9.585 3.734
angles: 90.00 90.00 90.00
Element x y z (fractional)
Dy (0.178, 0.322, 0.000)
Dy (0.322, 0.822, 0.000)
Dy (0.678, 0.178, 0.000)
Dy (0.822, 0.678, 0.000)
In (0.000, 0.000, 0.000)
In (0.500, 0.500, 0.000)
Fe (0.119, 0.619, 0.000)
Fe (0.381, 0.119, 0.000)
Fe (0.619, 0.881, 0.000)
Fe (0.881, 0.381, 0.000)
Rh (0.000, 0.500, 0.500)
Rh (0.068, 0.788, 0.500)
Rh (0.212, 0.068, 0.500)
Rh (0.288, 0.568, 0.500)
Rh (0.432, 0.288, 0.500)
Rh (0.500, 0.000, 0.500)
Rh (0.568, 0.712, 0.500)
Rh (0.712, 0.432, 0.500)
Rh (0.788, 0.932, 0.500)
Rh (0.932, 0.212, 0.500)

- Theoretical density: 10.32 Mg/m³
- Density of states at the Fermi level: 15.053 states/eV per cell
- Formation enthalpy at 0 K: -0.437 eV/atom
- Electronic total energy: -139.99 eV per cell

=====

15.
Density functional theory data (GGA-PBE) for a relaxed structure of SiHRhO2.

abc: 3.728 3.728 5.253
angles: 90.00 90.00 90.00
Element x y z (fractional)
Si (0.000, 0.000, 0.000)
H (0.500, 0.500, 0.000)
Rh (0.000, 0.000, 0.500)
O (0.000, 0.500, 0.500)
O (0.500, 0.000, 0.500)

- Theoretical density: 3.73 Mg/m³
- Density of states at the Fermi level: 3.866 states/eV per cell
- Electronic total energy: -24.30 eV per cell

=====

16.
Density functional theory data (GGA-PBE) for a relaxed structure of HoPu2H8.

abc: 6.436 6.436 6.436
angles: 146.10 134.01 58.34
Element x y z (fractional)
Ho (0.000, 0.000, 0.000)
Pu (0.321, 0.321, 0.000)
Pu (0.679, 0.679, 0.000)
H (0.111, 0.848, 0.264)
H (0.176, 0.676, 0.500)
H (0.265, 0.500, 0.765)
H (0.416, 0.152, 0.264)
H (0.584, 0.848, 0.736)
H (0.735, 0.500, 0.235)
H (0.824, 0.324, 0.500)
H (0.889, 0.152, 0.736)

- Theoretical density: 10.35 Mg/m³
- Density of states at the Fermi level: 13.485 states/eV per cell
- Electronic total energy: -65.42 eV per cell

=====

17.
Density functional theory data (GGA-PBE) for a relaxed structure of Pm2SnPb5.

abc: 6.924 13.866 4.887
angles: 90.00 90.00 90.00
Element x y z (fractional)
Pm (0.240, 0.120, 0.000)
Pm (0.260, 0.620, 0.000)
Pm (0.740, 0.380, 0.000)
Pm (0.760, 0.880, 0.000)
Sn (0.000, 0.000, 0.500)
Sn (0.500, 0.500, 0.500)
Pb (0.000, 0.500, 0.500)
Pb (0.007, 0.751, 0.500)
Pb (0.245, 0.373, 0.000)
Pb (0.255, 0.873, 0.000)
Pb (0.493, 0.251, 0.500)
Pb (0.500, 0.000, 0.500)
Pb (0.507, 0.749, 0.500)
Pb (0.745, 0.127, 0.000)
Pb (0.755, 0.627, 0.000)
Pb (0.993, 0.249, 0.500)

- Theoretical density: 10.23 Mg/m³
- Density of states at the Fermi level: 6.558 states/eV per cell
- Formation enthalpy at 0 K: -0.378 eV/atom
- Electronic total energy: -70.14 eV per cell

=====

18.
Density functional theory data (GGA-PBE) for a relaxed structure of BaCdTe2I.

abc: 5.640 5.640 6.128
angles: 90.00 90.00 90.00
Element x y z (fractional)
Ba (0.000, 0.000, 0.000)
Cd (0.500, 0.500, 0.500)
Te (0.000, 0.500, 0.500)
Te (0.500, 0.000, 0.500)
I (0.500, 0.500, 0.000)

- Uncorrected formation energy: -0.711 eV per atom
- Theoretical density: 5.38 Mg/m³
- Density of states at the Fermi level: 2.411 states/eV per cell
- Excess energy over the best structure of this formula in the dataset: 0.000 eV/atom
- Electronic total energy: -14.22 eV per cell

=====

19.
Density functional theory data (GGA-PBE) for a relaxed structure of MgPd3O4.

abc: 5.768 5.768 5.768
angles: 90.00 90.00 90.00
Element x y z (fractional)
Mg (0.000, 0.000, 0.000)
Mg (0.500, 0.500, 0.500)
Pd (0.000, 0.250, 0.500)
Pd (0.000, 0.750, 0.500)
Pd (0.250, 0.500, 0.000)
Pd (0.500, 0.000, 0.250)
Pd (0.500, 0.000, 0.750)
Pd (0.750, 0.500, 0.000)
O (0.250, 0.250, 0.250)
O (0.250, 0.250, 0.750)
O (0.250, 0.750, 0.250)
O (0.250, 0.750, 0.750)
O (0.750, 0.250, 0.250)
O (0.750, 0.250, 0.750)
O (0.750, 0.750, 0.250)
O (0.750, 0.750, 0.750)

- Uncorrected formation energy: -0.883 eV per atom
- Theoretical density: 7.05 Mg/m³
- Density of states at the Fermi level: 2.524 states/eV per cell
- Electronic total energy: -88.13 eV per cell

=====

20.
Density functional theory data (GGA-PBE) for a relaxed structure of LiSi2Tc.

abc: 4.100 4.100 3.063
angles: 90.00 90.00 90.00
Element x y z (fractional)
Li (0.000, 0.000, 0.000)
Si (0.000, 0.500, 0.500)
Si (0.500, 0.000, 0.500)
Tc (0.500, 0.500, 0.000)

- Uncorrected formation energy: -0.126 eV per atom
- Theoretical density: 5.19 Mg/m³
- Density of states at the Fermi level: 1.791 states/eV per cell
- Excess energy over the best structure of this formula in the dataset: 0.173 eV/atom
- Electronic total energy: -23.63 eV per cell

=====

21.
Density functional theory data (GGA-PBE) for a relaxed structure of RbAcVBr6.

abc: 7.407 7.407 15.315
angles: 90.00 90.00 120.00
Element x y z (fractional)
Rb (0.000, 0.000, 0.000)
Rb (0.000, 0.000, 0.500)
Ac (0.333, 0.667, 0.250)
Ac (0.667, 0.333, 0.750)
V (0.333, 0.667, 0.750)
V (0.667, 0.333, 0.250)
Br (0.039, 0.384, 0.645)
Br (0.039, 0.655, 0.855)
Br (0.345, 0.384, 0.855)
Br (0.345, 0.961, 0.645)
Br (0.384, 0.039, 0.145)
Br (0.384, 0.345, 0.355)
Br (0.616, 0.655, 0.645)
Br (0.616, 0.961, 0.855)
Br (0.655, 0.039, 0.355)
Br (0.655, 0.616, 0.145)
Br (0.961, 0.345, 0.145)
Br (0.961, 0.616, 0.355)

- Uncorrected formation energy: -1.547 eV per atom
- Theoretical density: 3.85 Mg/m³
- Electronic total energy: -76.31 eV per cell

=====

22.
Density functional theory data (GGA-PBE) for a relaxed structure of LaRuPb.

abc: 4.284 4.284 5.110
angles: 90.00 90.00 120.00
Element x y z (fractional)
La (0.000, 0.000, 0.000)
Ru (0.333, 0.667, 0.696)
Pb (0.667, 0.333, 0.477)

- Theoretical density: 9.14 Mg/m³
- Density of states at the Fermi level: 2.052 states/eV per cell
- Formation enthalpy at 0 K: -0.059 eV/atom
- Electronic total energy: -18.09 eV per cell

=====

23.
Density functional theory data (GGA-PBE) for a relaxed structure of Ce2CoPb.

abc: 8.699 8.699 8.699
angles: 25.17 25.17 25.17
Element x y z (fractional)
Ce (0.228, 0.228, 0.228)
Ce (0.772, 0.772, 0.772)
Co (0.500, 0.500, 0.500)
Pb (0.000, 0.000, 0.000)

- Theoretical density: 8.66 Mg/m³
- Density of states at the Fermi level: 7.474 states/eV per cell
- Excess energy over the best structure of this formula in the dataset: 0.038 eV/atom
- Formation enthalpy at 0 K: -0.214 eV/atom
- Electronic total energy: -23.54 eV per cell

=====

24.
Density functional theory data (GGA-PBE) for a relaxed structure of Zr2Ti2Co.

abc: 6.275 6.275 4.691
angles: 90.00 90.00 90.00
Element x y z (fractional)
Zr (0.162, 0.338, 0.000)
Zr (0.338, 0.838, 0.000)
Zr (0.662, 0.162, 0.000)
Zr (0.838, 0.662, 0.000)
Ti (0.155, 0.655, 0.500)
Ti (0.345, 0.155, 0.500)
Ti (0.655, 0.845, 0.500)
Ti (0.845, 0.345, 0.500)
Co (0.000, 0.000, 0.500)
Co (0.500, 0.500, 0.500)

- Theoretical density: 6.06 Mg/m³
- Density of states at the Fermi level: 10.152 states/eV per cell
- Excess energy over the best structure of this formula in the dataset: 0.100 eV/atom
- Formation enthalpy at 0 K: -0.024 eV/atom
- Electronic total energy: -80.22 eV per cell

=====

25.
Density functional theory data (GGA-PBE) for a relaxed structure of ScCoCuSi.

abc: 4.227 4.227 4.227
angles: 60.00 60.00 60.00
Element x y z (fractional)
Sc (0.000, 0.000, 0.000)
Co (0.250, 0.250, 0.250)
Cu (0.750, 0.750, 0.750)
Si (0.500, 0.500, 0.500)

- Uncorrected formation energy: -0.394 eV per atom
- Theoretical density: 6.08 Mg/m³
- Density of states at the Fermi level: 4.622 states/eV per cell
- Electronic total energy: -24.53 eV per cell